Material: Dy4YAg
Method: DFT, PBE
State: relaxed

CIF file:
```
data_Dy4YAg
_cell_length_a 5.4501
_cell_length_b 20.6756
_cell_length_c 6.4117
_cell_angle_alpha 90.00
_cell_angle_beta 90.00
_cell_angle_gamma 90.00
_space_group_name_H-M_alt 'C m c 21'
_space_group_IT_number 36
_space_group_name_Hall 'C 2c -2'
loop_
_atom_site_label
_atom_site_fract_x
_atom_site_fract_y
_atom_site_fract_z
_atom_site_occupancy
Dy1 0.0000 0.0356 0.0000 1
Dy2 0.0000 0.1779 0.8040 1
Dy3 0.0000 0.2449 0.2888 1
Dy4 0.0000 0.4355 0.1704 1
Y1 0.0000 0.3652 0.6693 1
Ag1 0.0000 0.1032 0.4119 1
```

Electronic total energy, Ry per atom: -0.337
Density, g/cm3: 7.78
Crystal system: orthorhombic